CsCrSe2: optimized geometry, PBE-GGA.

Values from the calculation:
SG: C2/m, No. 12
ΔE_f (raw): -261 kJ/mol of formula units
DFT total energy: -5.038 eV/atom

abc: 8.189 8.189 11.884
angles: 123.58 123.58 29.53
Element x y z (fractional)
Cs  0.000  0.000  0.000
Cs  0.000  0.000  0.500
Cr  0.311  0.311  0.598
Cr  0.689  0.689  0.402
Se  0.244  0.244  0.360
Se  0.486  0.486  0.742
Se  0.514  0.514  0.258
Se  0.756  0.756  0.640